ZnCd2Mo: optimized geometry, PBE-GGA.

final energy	-3.12	eV/atom
ρ	8.9	g cm⁻³
DOS(E_F)	2.5	states/eV per cell

Unit cell a=2.8692 b=4.5559 c=5.6658 alpha=90.00 beta=104.52 gamma=90.00
Closest atoms and distances in Å follow each position.
Element x y z (fractional)
Zn (0.0000, 0.0000, 0.0000)  4 Cd 2.77, 2 Mo 2.84, 2 Zn 2.87
Cd (0.1483, 0.5000, 0.7506)  4 Cd 2.75-3.03, 2 Zn 2.77, 4 Mo 2.99-3.06
Cd (0.8517, 0.5000, 0.2494)  4 Cd 2.75-3.03, 2 Zn 2.77, 4 Mo 2.99-3.06
Mo (0.5000, 0.0000, 0.5000)  2 Zn 2.84, 2 Mo 2.87, 8 Cd 2.99-3.06